*a*
First-principles (PBE) data for ReAgRu2 after structural relaxation, as listed in Alexandria.

Output
Density (g/cm³): 13.74
Crystal system: monoclinic

Cell and atoms, written as CIF:
```
data_ReAgRu2
_symmetry_space_group_name_H-M 'C 1 m 1'
_symmetry_Int_Tables_number 8
_cell_length_a 9.2799
_cell_length_b 2.7511
_cell_length_c 4.7756
_cell_angle_alpha 90.00
_cell_angle_beta 100.35
_cell_angle_gamma 90.00
loop_
_symmetry_equiv_pos_as_xyz
'x,y,z'
'x,-y,z'
'x+1/2,y+1/2,z'
'x+1/2,-y+1/2,z'
loop_
_atom_site_label
_atom_site_type_symbol
_atom_site_fract_x
_atom_site_fract_y
_atom_site_fract_z
Re1 Re 0.0000 0.0000 0.0000
Ag1 Ag 0.2606 0.5000 0.2825
Ru1 Ru 0.0199 0.5000 0.5345
Ru2 Ru 0.2538 0.0000 0.7841
```

=====

*b*
First-principles (PBE) data for ReAgRu2 after structural relaxation, as listed in Alexandria.

Output
Density (g/cm³): 13.55
Crystal system: orthorhombic

Cell and atoms, written as CIF:
```
data_ReAgRu2
_symmetry_space_group_name_H-M 'P m m m'
_symmetry_Int_Tables_number 47
_cell_length_a 2.7820
_cell_length_b 4.6138
_cell_length_c 4.7362
_cell_angle_alpha 90.00
_cell_angle_beta 90.00
_cell_angle_gamma 90.00
loop_
_symmetry_equiv_pos_as_xyz
'x,y,z'
'-x,-y,-z'
'-x,-y,z'
'x,y,-z'
'x,-y,-z'
'-x,y,z'
'-x,y,-z'
'x,-y,z'
loop_
_atom_site_label
_atom_site_type_symbol
_atom_site_fract_x
_atom_site_fract_y
_atom_site_fract_z
Re1 Re 0.0000 0.0000 0.0000
Ag1 Ag 0.5000 0.0000 0.5000
Ru1 Ru 0.0000 0.5000 0.5000
Ru2 Ru 0.5000 0.5000 0.0000
```

=====

*c*
First-principles (PBE) data for ReAgRu2 after structural relaxation, as listed in Alexandria.

Output
Density (g/cm³): 13.83
Crystal system: tetragonal

Cell and atoms, written as CIF:
```
data_ReAgRu2
_symmetry_space_group_name_H-M 'I -4 m 2'
_symmetry_Int_Tables_number 119
_symmetry_space_group_name_Hall 'I -4 -2'
_cell_length_a 3.8205
_cell_length_b 3.8205
_cell_length_c 8.1609
_cell_angle_alpha 90.00
_cell_angle_beta 90.00
_cell_angle_gamma 90.00
loop_
_atom_site_label
_atom_site_type_symbol
_atom_site_fract_x
_atom_site_fract_y
_atom_site_fract_z
Re1 Re 0.0000 0.0000 0.0000
Ag1 Ag 0.0000 0.5000 0.2500
Ru1 Ru 0.0000 0.0000 0.5000
Ru2 Ru 0.0000 0.5000 0.7500
```

=====

*d*
First-principles (PBE) data for ReAgRu2 after structural relaxation, as listed in Alexandria.

Output
Density (g/cm³): 13.82
Crystal system: tetragonal

Cell and atoms, written as CIF:
```
data_ReAgRu2
_symmetry_space_group_name_H-M 'P 4/m m m'
_symmetry_Int_Tables_number 123
_symmetry_space_group_name_Hall '-P 4 2'
_cell_length_a 3.9786
_cell_length_b 3.9786
_cell_length_c 3.7654
_cell_angle_alpha 90.00
_cell_angle_beta 90.00
_cell_angle_gamma 90.00
loop_
_atom_site_label
_atom_site_type_symbol
_atom_site_fract_x
_atom_site_fract_y
_atom_site_fract_z
Re1 Re 0.0000 0.0000 0.0000
Ag1 Ag 0.5000 0.5000 0.0000
Ru1 Ru 0.0000 0.5000 0.5000
```

=====

Quick look at relative energies in meV per atom: *a* 0; *b* 324; *c* 119; *d* 158.